Record 1
# Tl2IrOs

A geometry-optimized Tl2IrOs structure (PBEsol, Alexandria).

## Properties
- Crystal system: orthorhombic
- Energy relative to the elements: 0.938 eV/atom
- Calculated volume: 72 Å³ per cell
- Excess energy over the best structure of this formula in the dataset: 0.0 meV/atom

Cell: 3.0325 4.5565 5.2206 Å, 90.00 90.00 90.00°
Space group Pmmm (No. 47)
Inequivalent atoms, fractional coordinates:
1 Tl 0.0000 0.0000 0.0000 x1
2 Tl 0.5000 0.0000 0.5000 x1
3 Ir 0.0000 0.5000 0.5000 x1
4 Os 0.5000 0.5000 0.0000 x1


Record 2
# ScCl2

A geometry-optimized ScCl2 structure (PBEsol, Alexandria).

## Properties
- Crystal system: monoclinic
- Calculated volume: 281 Å³ per cell

Cell: 12.8785 3.4462 6.3869 Å, 90.00 97.23 90.00°
Space group Cm (No. 8)
Inequivalent atoms, fractional coordinates:
1 Sc 0.0000 0.0000 0.0000 x2
2 Sc 0.0395 0.5000 0.5738 x2
3 Cl 0.1264 0.0000 0.3344 x2
4 Cl 0.1530 0.0000 0.8063 x2
5 Cl 0.3981 0.0000 0.1811 x2
6 Cl 0.4001 0.5000 0.6370 x2


Record 3
# MgBeO2F

A geometry-optimized MgBeO2F structure (PBEsol, Alexandria).

## Properties
- Crystal system: tetragonal
- Calculated volume: 54 Å³ per cell

Cell: 3.8206 3.8206 3.6748 Å, 90.00 90.00 90.00°
Space group P4/mmm (No. 123)
Inequivalent atoms, fractional coordinates:
1 Mg 0.0000 0.0000 0.0000 x1
2 Be 0.5000 0.5000 0.5000 x1
3 O 0.0000 0.5000 0.0000 x2
4 F 0.0000 0.0000 0.5000 x1


Record 4
# BeOsRu2

A geometry-optimized BeOsRu2 structure (PBEsol, Alexandria).

## Properties
- Crystal system: tetragonal
- Energy relative to the elements: -0.031 eV/atom
- Calculated volume: 48 Å³ per cell

Cell: 2.7429 2.7429 6.4000 Å, 90.00 90.00 90.00°
Space group P4mm (No. 99)
Inequivalent atoms, fractional coordinates:
1 Be 0.0000 0.0000 0.0000 x1
2 Os 0.5000 0.5000 0.2211 x1
3 Ru 0.0000 0.0000 0.5046 x1
4 Ru 0.5000 0.5000 0.7874 x1


Results for E: -0.4327, -0.3978, -0.3411, -0.6740 (in Ry per atom, following the order of the records).